Entry 1:
AgH6C4N2O2 (PBE-GGA, optimized geometry); total DFT energy (no corrections) = -6.001 eV/atom
1.0
-3.7011 5.2047 0.0173
-0.7781 -0.5312 -6.6359
-9.4582 -7.5833 1.7161
O Ag C H N
8 4 16 24 8
Direct
0.3414 0.8939 0.5994
0.6586 0.8939 0.9006
0.3162 0.8490 0.9237
0.3414 0.1061 0.0994
0.6586 0.1061 0.4006
0.6838 0.8490 0.5763
0.3162 0.1510 0.4237
0.6838 0.1510 0.0763
0.0000 0.0000 0.0000
0.5000 0.3087 0.2500
0.5000 0.6913 0.7500
0.0000 0.0000 0.5000
0.4921 0.9266 0.9503
0.0000 0.6177 0.7500
0.1779 0.6340 0.1523
0.0000 0.3823 0.2500
0.5079 0.0734 0.0497
0.1975 0.3655 0.8486
0.1779 0.3660 0.6523
0.0000 0.1147 0.7500
0.4921 0.0734 0.4503
0.8025 0.6345 0.1514
0.8221 0.3660 0.8477
0.1975 0.6345 0.3486
0.8025 0.3655 0.6514
0.5079 0.9266 0.5497
0.0000 0.8853 0.2500
0.8221 0.6340 0.3477
0.9924 0.7116 0.6765
0.6838 0.2690 0.8483
0.6838 0.7310 0.3483
0.2089 0.4621 0.9211
0.0076 0.2884 0.3235
0.3363 0.2688 0.8486
0.8269 0.4624 0.9203
0.9924 0.2884 0.1765
0.3162 0.2690 0.6517
0.2089 0.5379 0.4211
0.1409 0.0211 0.7504
0.1731 0.4624 0.5797
0.8269 0.5376 0.4203
0.1731 0.5376 0.0797
0.3162 0.7310 0.1517
0.7911 0.5379 0.0789
0.8591 0.9789 0.2496
0.0076 0.7116 0.8235
0.8591 0.0211 0.7496
0.7911 0.4621 0.5789
0.1409 0.9789 0.2504
0.3363 0.7312 0.3486
0.6637 0.2688 0.6514
0.6637 0.7312 0.1514
0.1915 0.5063 0.2505
0.9902 0.7616 0.1499
0.8085 0.4937 0.7495
0.8085 0.5063 0.2495
0.1915 0.4937 0.7505
0.9902 0.2384 0.6499
0.0098 0.7616 0.3501
0.0098 0.2384 0.8501

Entry 2:
ReTe2 (PBE-GGA, optimized geometry); total DFT energy (no corrections) = -4.042 eV/atom; total moment = 3.6 μB per formula unit
1.0
3.6471 4.7486 0.9947
-0.7790 3.4431 4.9375
4.0660 -0.1869 4.5026
Te Re
4 2
Direct
0.1250 0.6250 0.6250
0.6250 0.6250 0.1250
0.6250 0.1250 0.6250
0.6250 0.6250 0.6250
0.0000 0.0000 0.0000
0.2500 0.2500 0.2500